[1]
## Sm4Tl5In (PBE)

Data for a relaxed structure of Sm4Tl5In.

Summary:
Crystal system: monoclinic
Formation energy: -0.3438 eV per atom
DOS at the Fermi energy: 7.7 states/eV per cell
E above lowest polymorph: 0.0 meV/atom

a b c (Å): 9.270 9.270 6.658
angles (deg): 106.98 106.98 31.50
Element x y z (fractional)
Sm1 0.086 0.086 0.335
Sm2 0.302 0.302 0.884
Sm3 0.698 0.698 0.116
Sm4 0.914 0.914 0.665
Tl1 0.105 0.105 0.843
Tl2 0.296 0.296 0.389
Tl3 0.500 0.500 0.500
Tl4 0.704 0.704 0.611
Tl5 0.895 0.895 0.157
In1 0.500 0.500 0.000



[2]
## Dy6Ir2Ru (PBE)

Data for a relaxed structure of Dy6Ir2Ru.

Summary:
Crystal system: monoclinic
Formation energy: -0.5365 eV per atom
DOS at the Fermi energy: 12.9 states/eV per cell

a b c (Å): 6.633 7.292 11.394
angles (deg): 90.00 122.92 90.00
Element x y z (fractional)
Dy1 0.081 0.039 0.243
Dy2 0.081 0.461 0.743
Dy3 0.231 0.666 0.076
Dy4 0.231 0.834 0.576
Dy5 0.392 0.173 0.068
Dy6 0.392 0.327 0.568
Dy7 0.608 0.673 0.432
Dy8 0.608 0.827 0.932
Dy9 0.769 0.166 0.424
Dy10 0.769 0.334 0.924
Dy11 0.919 0.539 0.257
Dy12 0.919 0.961 0.757
Ir1 0.319 0.131 0.780
Ir2 0.319 0.369 0.280
Ir3 0.681 0.631 0.720
Ir4 0.681 0.869 0.220
Ru1 0.500 0.000 0.500
Ru2 0.500 0.500 0.000



[3]
## CoSeBr2 (PBE)

Data for a relaxed structure of CoSeBr2.

Summary:
Crystal system: orthorhombic
DOS at the Fermi energy: 5.2 states/eV per cell
ΔE_f (raw): -0.24 eV/f.u.

a b c (Å): 7.582 7.582 7.582
angles (deg): 153.35 138.20 50.26
Element x y z (fractional)
Co1 0.000 0.000 0.000
Se1 0.111 0.611 0.500
Br1 0.595 0.595 0.000
Br2 0.879 0.379 0.500



[4]
## Sr2ZnBr (PBE)

Data for a relaxed structure of Sr2ZnBr.

Summary:
Crystal system: tetragonal
DOS at the Fermi energy: 5.0 states/eV per cell
E above lowest polymorph: 42.2 meV/atom
ΔE_f (raw): -3.10 eV/f.u.

a b c (Å): 4.607 4.607 6.569
angles (deg): 90.00 90.00 90.00
Element x y z (fractional)
Sr1 0.000 0.000 0.000
Sr2 0.500 0.500 0.499
Zn1 0.500 0.500 0.999
Br1 0.000 0.000 0.500



[5]
## Pr3Y6Tm2Th (PBE)

Data for a relaxed structure of Pr3Y6Tm2Th.

Summary:
Crystal system: monoclinic
Formation energy: 0.0203 eV per atom
DOS at the Fermi energy: 16.4 states/eV per cell

a b c (Å): 6.230 6.230 11.896
angles (deg): 95.02 95.02 120.00
Element x y z (fractional)
Pr1 0.000 0.000 0.000
Pr2 0.333 0.667 0.000
Pr3 0.667 0.333 0.000
Y1 0.088 0.418 0.255
Y2 0.252 0.252 0.745
Y3 0.418 0.088 0.255
Y4 0.582 0.912 0.745
Y5 0.748 0.748 0.255
Y6 0.912 0.582 0.745
Tm1 0.167 0.833 0.500
Tm2 0.833 0.167 0.500
Th1 0.500 0.500 0.500



[6]
## MgZr2H (PBE)

Data for a relaxed structure of MgZr2H.

Summary:
Crystal system: trigonal
DOS at the Fermi energy: 5.1 states/eV per cell
E above lowest polymorph: 9.9 meV/atom

a b c (Å): 8.377 8.377 8.377
angles (deg): 21.64 21.64 21.64
Element x y z (fractional)
Mg1 0.000 0.000 0.000
Zr1 0.557 0.557 0.557
Zr2 0.776 0.776 0.776
H1 0.165 0.165 0.165